Record 1
Below is a geometry-optimized NaLaGePd structure, with properties calculated at the PBE level.

Excess energy over the best structure of this formula in the dataset: 76.1 meV/atom
Symmetry: F-43m

Lattice parameters (Å, degrees): 5.084 5.084 5.084 60.00 60.00 60.00
Fractional positions:
Ge 0.500 0.500 0.500
La 0.250 0.250 0.250
Na 0.750 0.750 0.750
Pd 0.000 0.000 0.000


Record 2
Below is a geometry-optimized NaLaGePd structure, with properties calculated at the PBE level.

Excess energy over the best structure of this formula in the dataset: 68.6 meV/atom
Symmetry: F-43m

Lattice parameters (Å, degrees): 4.942 4.942 4.942 60.00 60.00 60.00
Fractional positions:
Ge 0.250 0.250 0.250
La 0.500 0.500 0.500
Na 0.750 0.750 0.750
Pd 0.000 0.000 0.000


Record 3
Below is a geometry-optimized NaLaGePd structure, with properties calculated at the PBE level.

Excess energy over the best structure of this formula in the dataset: 0.0 meV/atom
Symmetry: F-43m

Lattice parameters (Å, degrees): 4.930 4.930 4.930 60.00 60.00 60.00
Fractional positions:
Ge 0.000 0.000 0.000
La 0.500 0.500 0.500
Na 0.750 0.750 0.750
Pd 0.250 0.250 0.250


Record 4
Below is a geometry-optimized NaLaGePt structure, with properties calculated at the PBE level.

Excess energy over the best structure of this formula in the dataset: 122.9 meV/atom
Symmetry: F-43m

Lattice parameters (Å, degrees): 4.906 4.906 4.906 60.00 60.00 60.00
Fractional positions:
Ge 0.250 0.250 0.250
La 0.000 0.000 0.000
Na 0.750 0.750 0.750
Pt 0.500 0.500 0.500


Record 5
Below is a geometry-optimized NaLaGePt structure, with properties calculated at the PBE level.

Excess energy over the best structure of this formula in the dataset: 95.4 meV/atom
Symmetry: F-43m

Lattice parameters (Å, degrees): 5.057 5.057 5.057 60.00 60.00 60.00
Fractional positions:
Ge 0.000 0.000 0.000
La 0.250 0.250 0.250
Na 0.750 0.750 0.750
Pt 0.500 0.500 0.500


Record 6
Below is a geometry-optimized NaLaGePt structure, with properties calculated at the PBE level.

Excess energy over the best structure of this formula in the dataset: 0.0 meV/atom
Symmetry: F-43m

Lattice parameters (Å, degrees): 4.901 4.901 4.901 60.00 60.00 60.00
Fractional positions:
Ge 0.500 0.500 0.500
La 0.000 0.000 0.000
Na 0.750 0.750 0.750
Pt 0.250 0.250 0.250


Record 7
Below is a geometry-optimized LaNd2Ge7 structure, with properties calculated at the PBE level.

Calculated total energy: -0.3834 Ry/atom
Symmetry: Cmmm

Lattice parameters (Å, degrees): 12.586 12.586 4.342 90.00 90.00 160.77
Fractional positions:
Ge 0.593 0.407 0.000
Ge 0.407 0.593 0.000
Ge 0.907 0.093 0.500
Ge 0.717 0.283 0.500
Ge 0.500 0.500 0.500
Ge 0.283 0.717 0.500
Ge 0.093 0.907 0.500
La 0.000 0.000 0.000
Nd 0.818 0.182 0.000
Nd 0.182 0.818 0.000


Record 8
Below is a geometry-optimized LaNd2Ni2Ge4Pt2 structure, with properties calculated at the PBE level.

Calculated total energy: -0.4358 Ry/atom
Symmetry: Immm

Lattice parameters (Å, degrees): 12.617 12.617 12.617 160.72 160.60 27.48
Fractional positions:
Ge 0.447 0.447 0.000
Ge 0.553 0.553 0.000
Ge 0.809 0.309 0.500
Ge 0.191 0.691 0.500
La 0.000 0.000 0.000
Nd 0.646 0.146 0.500
Nd 0.354 0.854 0.500
Ni 0.903 0.403 0.500
Ni 0.097 0.597 0.500
Pt 0.249 0.249 0.000
Pt 0.751 0.751 0.000


Record 9
Below is a geometry-optimized La2NdSi2Ni4Ge2 structure, with properties calculated at the PBE level.

Calculated total energy: -0.4366 Ry/atom
Symmetry: Immm

Lattice parameters (Å, degrees): 12.377 12.377 12.377 160.75 160.71 27.38
Fractional positions:
Ge 0.447 0.447 0.000
Ge 0.553 0.553 0.000
La 0.651 0.151 0.500
La 0.349 0.849 0.500
Nd 0.000 0.000 0.000
Ni 0.249 0.249 0.000
Ni 0.751 0.751 0.000
Ni 0.897 0.397 0.500
Ni 0.103 0.603 0.500
Si 0.798 0.298 0.500
Si 0.202 0.702 0.500


Record 10
Below is a geometry-optimized LaNdGe4Os2 structure, with properties calculated at the PBE level.

Calculated total energy: -0.5038 Ry/atom
Symmetry: Pm

Lattice parameters (Å, degrees): 4.569 4.438 8.523 90.00 103.78 90.00
Fractional positions:
Ge 0.679 0.000 0.000
Ge 0.321 0.500 0.002
Ge 0.957 0.500 0.407
Ge 0.043 0.000 0.591
La 0.603 0.500 0.707
Nd 0.397 0.000 0.291
Os 0.882 0.500 0.116
Os 0.117 0.000 0.885


Record 11
Below is a geometry-optimized LaNdGe2Os2 structure, with properties calculated at the PBE level.

Calculated total energy: -0.5422 Ry/atom
Symmetry: P4mm

Lattice parameters (Å, degrees): 4.306 4.306 7.078 90.00 90.00 90.00
Fractional positions:
Ge 0.000 0.000 0.307
Ge 0.500 0.500 0.690
La 0.000 0.000 0.817
Nd 0.500 0.500 0.188
Os 0.500 0.000 0.499
Os 0.000 0.500 0.499


Record 12
Below is a geometry-optimized La2NdGe4Pd4 structure, with properties calculated at the PBE level.

Calculated total energy: -0.4263 Ry/atom
Symmetry: Immm

Lattice parameters (Å, degrees): 13.130 13.130 13.130 161.72 160.70 26.71
Fractional positions:
Ge 0.451 0.451 0.000
Ge 0.549 0.549 0.000
Ge 0.805 0.305 0.500
Ge 0.195 0.695 0.500
La 0.647 0.147 0.500
La 0.353 0.853 0.500
Nd 0.000 0.000 0.000
Pd 0.251 0.251 0.000
Pd 0.749 0.749 0.000
Pd 0.904 0.404 0.500
Pd 0.096 0.596 0.500


Record 13
Below is a geometry-optimized La2NdGe4Pd2Pt2 structure, with properties calculated at the PBE level.

Calculated total energy: -0.4401 Ry/atom
Symmetry: Immm

Lattice parameters (Å, degrees): 13.153 13.153 13.153 161.74 160.85 26.58
Fractional positions:
Ge 0.451 0.451 0.000
Ge 0.549 0.549 0.000
Ge 0.805 0.305 0.500
Ge 0.195 0.695 0.500
La 0.647 0.147 0.500
La 0.353 0.853 0.500
Nd 0.000 0.000 0.000
Pd 0.903 0.403 0.500
Pd 0.097 0.597 0.500
Pt 0.250 0.250 0.000
Pt 0.750 0.750 0.000


Record 14
Below is a geometry-optimized La2NdZn2Ge4Pd2 structure, with properties calculated at the PBE level.

Calculated total energy: -0.3650 Ry/atom
Symmetry: Immm

Lattice parameters (Å, degrees): 13.325 13.325 13.325 162.02 161.20 26.13
Fractional positions:
Ge 0.452 0.452 0.000
Ge 0.548 0.548 0.000
Ge 0.808 0.308 0.500
Ge 0.192 0.692 0.500
La 0.646 0.146 0.500
La 0.354 0.854 0.500
Nd 0.000 0.000 0.000
Pd 0.905 0.405 0.500
Pd 0.095 0.595 0.500
Zn 0.250 0.250 0.000
Zn 0.750 0.750 0.000


Record 15
Below is a geometry-optimized La2PrNdZn12Ge6 structure, with properties calculated at the PBE level.

Calculated total energy: -0.2406 Ry/atom
Symmetry: Pm

Lattice parameters (Å, degrees): 7.704 4.134 13.345 90.00 90.00 90.00
Fractional positions:
Ge 0.620 0.500 0.001
Ge 0.190 0.500 0.191
Ge 0.692 0.500 0.309
Ge 0.119 0.500 0.499
Ge 0.690 0.500 0.689
Ge 0.189 0.500 0.810
La 0.000 0.000 0.666
La 0.500 0.000 0.834
Nd 0.000 0.000 0.333
Pr 0.500 0.000 0.167
Zn 0.811 0.000 0.001
Zn 0.289 0.500 0.001
Zn 0.095 0.000 0.095
Zn 0.856 0.500 0.145
Zn 0.355 0.500 0.355
Zn 0.596 0.000 0.405
Zn 0.790 0.500 0.499
Zn 0.311 0.000 0.499
Zn 0.593 0.000 0.594
Zn 0.355 0.500 0.644
Zn 0.855 0.500 0.856
Zn 0.094 0.000 0.906


Record 16
Below is a geometry-optimized La2NdGe4Pt4 structure, with properties calculated at the PBE level.

Calculated total energy: -0.4572 Ry/atom
Symmetry: Immm

Lattice parameters (Å, degrees): 13.141 13.141 13.141 161.64 160.93 26.59
Fractional positions:
Ge 0.195 0.195 0.000
Ge 0.805 0.805 0.000
Ge 0.549 0.049 0.500
Ge 0.451 0.951 0.500
La 0.354 0.354 0.000
La 0.646 0.646 0.000
Nd 0.000 0.500 0.500
Pt 0.097 0.097 0.000
Pt 0.903 0.903 0.000
Pt 0.751 0.251 0.500
Pt 0.249 0.749 0.500


Record 17
Below is a geometry-optimized LaNd2Ge4Pt4 structure, with properties calculated at the PBE level.

Calculated total energy: -0.4550 Ry/atom
Symmetry: Immm

Lattice parameters (Å, degrees): 12.982 12.982 12.982 161.43 160.53 27.03
Fractional positions:
Ge 0.450 0.450 0.000
Ge 0.550 0.550 0.000
Ge 0.806 0.306 0.500
Ge 0.194 0.694 0.500
La 0.000 0.000 0.000
Nd 0.647 0.147 0.500
Nd 0.353 0.853 0.500
Pt 0.250 0.250 0.000
Pt 0.750 0.750 0.000
Pt 0.904 0.404 0.500
Pt 0.096 0.596 0.500


Record 18
Below is a geometry-optimized LaNd2Si2Ge2Pt4 structure, with properties calculated at the PBE level.

Calculated total energy: -0.4727 Ry/atom
Symmetry: Immm

Lattice parameters (Å, degrees): 12.712 12.712 12.712 160.90 160.30 27.57
Fractional positions:
Ge 0.551 0.051 0.500
Ge 0.449 0.949 0.500
La 0.000 0.500 0.500
Nd 0.352 0.352 0.000
Nd 0.648 0.648 0.000
Pt 0.102 0.102 0.000
Pt 0.898 0.898 0.000
Pt 0.752 0.252 0.500
Pt 0.248 0.748 0.500
Si 0.198 0.198 0.000
Si 0.802 0.802 0.000


Record 19
Below is a geometry-optimized La2NdSi2Ge2Pt4 structure, with properties calculated at the PBE level.

Calculated total energy: -0.4741 Ry/atom
Symmetry: Immm

Lattice parameters (Å, degrees): 12.888 12.888 12.888 161.24 160.68 27.05
Fractional positions:
Ge 0.450 0.450 0.000
Ge 0.550 0.550 0.000
La 0.647 0.147 0.500
La 0.353 0.853 0.500
Nd 0.000 0.000 0.000
Pt 0.248 0.248 0.000
Pt 0.752 0.752 0.000
Pt 0.899 0.399 0.500
Pt 0.101 0.601 0.500
Si 0.802 0.302 0.500
Si 0.198 0.698 0.500


Record 20
Below is a geometry-optimized La2Nd2SiGe3 structure, with properties calculated at the PBE level.

Calculated total energy: -0.4156 Ry/atom
Symmetry: Cm

Lattice parameters (Å, degrees): 7.125 7.125 6.704 90.17 90.17 37.25
Fractional positions:
Ge 0.897 0.897 0.055
Ge 0.901 0.901 0.447
Ge 0.102 0.102 0.940
La 0.550 0.550 0.251
La 0.451 0.451 0.751
Nd 0.275 0.275 0.253
Nd 0.724 0.724 0.746
Si 0.100 0.100 0.557


Record 21
Below is a geometry-optimized LaNdZn2Ge2 structure, with properties calculated at the PBE level.

Excess energy over the best structure of this formula in the dataset: 0.0 meV/atom
Symmetry: P6_3/mmc

Lattice parameters (Å, degrees): 4.332 4.332 16.740 90.00 90.00 120.00
Fractional positions:
Ge 0.667 0.333 0.118
Ge 0.667 0.333 0.382
Ge 0.333 0.667 0.618
Ge 0.333 0.667 0.882
La 0.000 0.000 0.000
La 0.000 0.000 0.500
Nd 0.000 0.000 0.250
Nd 0.000 0.000 0.750
Zn 0.333 0.667 0.146
Zn 0.333 0.667 0.354
Zn 0.667 0.333 0.646
Zn 0.667 0.333 0.854


Record 22
Below is a geometry-optimized LaNiGe3 structure, with properties calculated at the PBE level.

Calculated total energy: -0.4048 Ry/atom
Symmetry: I4mm

Lattice parameters (Å, degrees): 5.798 5.798 5.798 135.06 135.06 65.44
Fractional positions:
Ge 0.000 0.000 0.000
Ge 0.661 0.161 0.500
Ge 0.161 0.661 0.500
La 0.418 0.418 0.000
Ni 0.758 0.758 0.000


Record 23
Below is a geometry-optimized La11Ni4Ge6 structure, with properties calculated at the PBE level.

Calculated total energy: -0.4155 Ry/atom
Symmetry: C2/m

Lattice parameters (Å, degrees): 9.535 9.535 14.148 105.63 105.63 26.56
Fractional positions:
Ge 0.372 0.372 0.049
Ge 0.739 0.739 0.266
Ge 0.514 0.514 0.349
Ge 0.486 0.486 0.651
Ge 0.261 0.261 0.734
Ge 0.628 0.628 0.951
La 0.215 0.215 0.099
La 0.547 0.547 0.124
La 0.905 0.905 0.216
La 0.144 0.144 0.351
La 0.338 0.338 0.407
La 0.000 0.000 0.500
La 0.662 0.662 0.593
La 0.856 0.856 0.649
La 0.095 0.095 0.784
La 0.453 0.453 0.876
La 0.785 0.785 0.901
Ni 0.940 0.940 0.025
Ni 0.752 0.752 0.450
Ni 0.248 0.248 0.550
Ni 0.060 0.060 0.975